# 1
Material: CeSm2Eu
Method: DFT, PBE-GGA
State: relaxed

Summary:
spin magnetization	2.35	μB per atom
N(E_F)	2.844	states/eV per atom
polymorph energy (0 for the lowest one)	0.152	eV/atom
formation energy	0.233	eV/atom
ρ	7.05	g cm⁻³

a b c (Å): 8.2352 8.2352 8.2352
angles (deg): 90.00 90.00 90.00
With the nearest neighbours (Å) after each atom.
Space group Fm-3m (No. 225)
Unique sites:
Ce (0.0000, 0.0000, 0.0000) [4 per cell]  8 Sm 3.57
Sm (0.2500, 0.2500, 0.2500) [8 per cell]  4 Eu 3.57, 4 Ce 3.57
Eu (0.0000, 0.0000, 0.5000) [4 per cell]  8 Sm 3.57



# 2
Material: La2Sb2F
Method: DFT, PBE-GGA
State: relaxed

Summary:
spin magnetization	0.04	μB per atom
N(E_F)	0.773	states/eV per atom
polymorph energy (0 for the lowest one)	0.835	eV/atom
ρ	5.77	g cm⁻³

a b c (Å): 4.3461 4.3461 16.4594
angles (deg): 90.00 90.00 90.00
With the nearest neighbours (Å) after each atom.
Space group I4/mmm (No. 139)
Unique sites:
La (0.0000, 0.0000, 0.1067) [4 per cell]  4 Sb 3.21, 1 La 3.51, 4 F 3.54
Sb (0.0000, 0.5000, 0.2500) [4 per cell]  4 Sb 3.07, 4 La 3.21
F (0.0000, 0.0000, 0.5000) [2 per cell]  8 La 3.54



# 3
Material: Hf5PdPt
Method: DFT, PBE-GGA
State: relaxed

Summary:
spin magnetization	0.00	μB per atom
N(E_F)	0.948	states/eV per atom
formation energy	-0.196	eV/atom
ρ	13.22	g cm⁻³

a b c (Å): 12.0015 5.4175 9.3222
angles (deg): 90.00 98.22 90.00
With the nearest neighbours (Å) after each atom.
Space group C2/c (No. 15)
Unique sites:
Hf (0.0000, 0.2329, 0.2500) [4 per cell]  2 Pd 2.59-2.83, 2 Pt 2.65
Hf (0.1341, 0.4119, 0.0122) [8 per cell]  1 Pt 2.74, 1 Pd 2.81, 1 Hf 3.07
Hf (0.2082, 0.0990, 0.6978) [8 per cell]  1 Pd 2.81, 1 Pt 2.93, 4 Hf 3.00-3.08
Pd (0.0000, 0.2891, 0.7500) [4 per cell]  6 Hf 2.59-2.83, 2 Pt 2.81
Pt (0.0000, 0.0000, 0.0000) [4 per cell]  6 Hf 2.65-2.93, 2 Pd 2.81



What did the first record say?
Material: CeSm2Eu
Method: DFT, PBE-GGA
State: relaxed

Summary:
spin magnetization	2.35	μB per atom
N(E_F)	2.844	states/eV per atom
polymorph energy (0 for the lowest one)	0.152	eV/atom
formation energy	0.233	eV/atom
ρ	7.05	g cm⁻³

a b c (Å): 8.2352 8.2352 8.2352
angles (deg): 90.00 90.00 90.00
With the nearest neighbours (Å) after each atom.
Space group Fm-3m (No. 225)
Unique sites:
Ce (0.0000, 0.0000, 0.0000) [4 per cell]  8 Sm 3.57
Sm (0.2500, 0.2500, 0.2500) [8 per cell]  4 Eu 3.57, 4 Ce 3.57
Eu (0.0000, 0.0000, 0.5000) [4 per cell]  8 Sm 3.57



- Look up the N(E_F) of the third one.
  0.948 states/eV per atom



- Which formula does entry 3 have?
  Hf5PdPt